A plane-wave DFT calculation with PBE-GGA was carried out for a relaxed structure of NdBe2IrRh.

spin magnetization: 0.00 Bohr magnetons per cell
volume: 15.94 Å³/atom
energy relative to the elements: -615 meV/atom

Cell lengths 4.185, 4.185, 9.104 Å; angles 90.00, 90.00, 90.00 degrees
Element x y z (fractional)
Nd  0.000  0.000  0.000
Nd  0.500  0.500  0.500
Be  0.000  0.000  0.348
Be  0.000  0.000  0.652
Be  0.500  0.500  0.152
Be  0.500  0.500  0.848
Ir  0.000  0.500  0.250
Ir  0.500  0.000  0.750
Rh  0.000  0.500  0.750
Rh  0.500  0.000  0.250